<P>
! Er5Sn3 | Alexandria via LeMat-Bulk | GGA-PBE | relaxed; values from VASP
! DOS at the Fermi energy (states/eV/cell): 12.06
! Total moment (μB/cell): 0.0
! V (Å³ per atom): 27.771
&SYSTEM
  ibrav = 0, nat = 16, ntyp = 2
/
ATOMIC_SPECIES
Er 167.26 Er.upf
Sn 118.71 Sn.upf
CELL_PARAMETERS angstrom
-4.0530 4.0530 6.7624
4.0530 -4.0530 6.7624
4.0530 4.0530 -6.7624
ATOMIC_POSITIONS crystal
Er 0.0000 0.0000 0.0000
Er 0.0051 0.5051 0.8112
Er 0.1939 0.0051 0.5000
Er 0.3061 0.8061 0.8112
Er 0.4949 0.3061 0.5000
Er 0.5000 0.5000 0.0000
Er 0.5051 0.6939 0.5000
Er 0.6939 0.1939 0.1888
Er 0.8061 0.9949 0.5000
Er 0.9949 0.4949 0.1888
Sn 0.1446 0.3554 0.5000
Sn 0.2500 0.2500 0.0000
Sn 0.3554 0.8554 0.2108
Sn 0.6446 0.1446 0.7892
Sn 0.7500 0.7500 0.0000
Sn 0.8554 0.6446 0.5000

***

<Q>
! Er5Sn3 | Alexandria via LeMat-Bulk | GGA-PBE | relaxed; values from VASP
! DOS at the Fermi energy (states/eV/cell): 8.74
! Total moment (μB/cell): 0.0
! V (Å³ per atom): 27.687
&SYSTEM
  ibrav = 0, nat = 16, ntyp = 2
/
ATOMIC_SPECIES
Er 167.26 Er.upf
Sn 118.71 Sn.upf
CELL_PARAMETERS angstrom
8.8815 0.0000 0.0000
-4.4408 7.6916 0.0000
0.0000 0.0000 6.4846
ATOMIC_POSITIONS crystal
Er 0.0000 0.2374 0.2500
Er 0.0000 0.7626 0.7500
Er 0.2374 0.0000 0.2500
Er 0.2374 0.2374 0.7500
Er 0.3333 0.6667 0.0000
Er 0.3333 0.6667 0.5000
Er 0.6667 0.3333 0.0000
Er 0.6667 0.3333 0.5000
Er 0.7626 0.0000 0.7500
Er 0.7626 0.7626 0.2500
Sn 0.0000 0.3952 0.7500
Sn 0.0000 0.6048 0.2500
Sn 0.3952 0.0000 0.7500
Sn 0.3952 0.3952 0.2500
Sn 0.6048 0.0000 0.2500
Sn 0.6048 0.6048 0.7500

***

It turns out <Q> is the most stable, with the second structure 77 meV/atom higher.